--- w ---
A geometry-optimized AcPm3Ir2 structure. Source: Alexandria via LeMat-Bulk, functional PBE-GGA.

Spin magnetization, μB/f.u.: 0.0
DOS at the Fermi energy, states/eV/atom: 0.770

abc: 16.535 5.086 8.683
angles: 90.00 114.29 90.00
Space group C2/m (No. 12)
Asymmetric unit:
Ac: 0.132 0.000 0.220 (multiplicity 4)
Pm: 0.067 0.000 0.730 (multiplicity 4)
Pm: 0.130 0.500 0.510 (multiplicity 4)
Pm: 0.187 0.500 0.988 (multiplicity 4)
Ir: 0.002 0.500 0.848 (multiplicity 4)
Ir: 0.223 0.000 0.641 (multiplicity 4)

--- x ---
A geometry-optimized AcPm3Ir2 structure. Source: Alexandria via LeMat-Bulk, functional PBE-GGA.

Spin magnetization, μB/f.u.: 0.0
DOS at the Fermi energy, states/eV/atom: 0.742

abc: 17.284 4.326 12.312
angles: 90.00 122.11 90.00
Space group C2/m (No. 12)
Asymmetric unit:
Ac: 0.084 0.000 0.183 (multiplicity 4)
Pm: 0.059 0.500 0.728 (multiplicity 4)
Pm: 0.178 0.000 0.544 (multiplicity 4)
Pm: 0.217 0.500 0.085 (multiplicity 4)
Ir: 0.119 0.000 0.914 (multiplicity 4)
Ir: 0.132 0.500 0.370 (multiplicity 4)

Stability, highest: x

--- w ---
A geometry-optimized Ac2PmIr structure. Source: Alexandria via LeMat-Bulk, functional PBE-GGA.

Spin magnetization, μB/f.u.: 0.0
DOS at the Fermi energy, states/eV/atom: 0.867

abc: 4.359 5.715 12.293
angles: 90.00 90.00 90.00
Space group Immm (No. 71)
Asymmetric unit:
Ac: 0.000 0.000 0.162 (multiplicity 4)
Pm: 0.000 0.000 0.500 (multiplicity 2)
Ir: 0.000 0.500 0.500 (multiplicity 2)

--- x ---
A geometry-optimized Ac2PmIr structure. Source: Alexandria via LeMat-Bulk, functional PBE-GGA.

Spin magnetization, μB/f.u.: 0.0
DOS at the Fermi energy, states/eV/atom: 1.415

abc: 3.774 3.774 9.488
angles: 90.00 90.00 90.00
Space group P4/mmm (No. 123)
Asymmetric unit:
Ac: 0.000 0.000 0.184 (multiplicity 2)
Pm: 0.500 0.500 0.500 (multiplicity 1)
Ir: 0.500 0.500 0.000 (multiplicity 1)

Stability, highest: w

--- w ---
A geometry-optimized Ac2PmIr structure. Source: Alexandria via LeMat-Bulk, functional PBE-GGA.

Spin magnetization, μB/f.u.: 0.0
DOS at the Fermi energy, states/eV/atom: 1.011

abc: 7.242 6.801 12.279
angles: 90.00 90.00 90.00
Space group Pnna (No. 52)
Asymmetric unit:
Ac: 0.086 0.245 0.083 (multiplicity 8)
Pm: 0.082 0.250 0.750 (multiplicity 4)
Ir: 0.250 0.000 0.906 (multiplicity 4)

--- x ---
A geometry-optimized Ac2PmIr structure. Source: Alexandria via LeMat-Bulk, functional PBE-GGA.

Spin magnetization, μB/f.u.: 0.0
DOS at the Fermi energy, states/eV/atom: 1.405

abc: 4.1809 4.1809 29.5802
angles: 90.00 90.00 120.00
Space group R-3m (No. 166, hexagonal axes)
Asymmetric unit:
Ac: 0.0000 0.0000 0.2243 (multiplicity 6)
Pm: 0.0000 0.0000 0.0000 (multiplicity 3)
Ir: 0.0000 0.0000 0.5000 (multiplicity 3)

Stability, highest: w

--- w ---
A geometry-optimized Ac3PmIr structure. Source: Alexandria via LeMat-Bulk, functional PBE-GGA.

Spin magnetization, μB/f.u.: 0.0
DOS at the Fermi energy, states/eV/atom: 1.762

abc: 5.895 5.895 5.895
angles: 90.00 90.00 90.00
Space group Pm-3m (No. 221)
Asymmetric unit:
Ac: 0.000 0.000 0.500 (multiplicity 3)
Pm: 0.500 0.500 0.500 (multiplicity 1)
Ir: 0.000 0.000 0.000 (multiplicity 1)

--- x ---
A geometry-optimized Ac3PmIr structure. Source: Alexandria via LeMat-Bulk, functional PBE-GGA.

Spin magnetization, μB/f.u.: 0.0
DOS at the Fermi energy, states/eV/atom: 1.219

abc: 12.591 9.603 8.903
angles: 90.00 134.61 90.00
Space group C2/m (No. 12)
Asymmetric unit:
Ac: 0.048 0.000 0.339 (multiplicity 4)
Ac: 0.246 0.298 0.785 (multiplicity 8)
Pm: 0.045 0.500 0.241 (multiplicity 4)
Ir: 0.246 0.500 0.156 (multiplicity 4)

--- y ---
A geometry-optimized Ac3PmIr structure. Source: Alexandria via LeMat-Bulk, functional PBE-GGA.

Spin magnetization, μB/f.u.: 0.0
DOS at the Fermi energy, states/eV/atom: 1.358

abc: 9.945 4.215 9.497
angles: 90.00 90.00 90.00
Space group Pmma (No. 51)
Asymmetric unit:
Ac: 0.041 0.000 0.234 (multiplicity 4)
Ac: 0.250 0.500 0.548 (multiplicity 2)
Pm: 0.250 0.500 0.949 (multiplicity 2)
Ir: 0.250 0.500 0.242 (multiplicity 2)

Stability, highest: x

--- w ---
A geometry-optimized AcPmIr structure. Source: Alexandria via LeMat-Bulk, functional PBE-GGA.

Spin magnetization, μB/f.u.: 0.0
DOS at the Fermi energy, states/eV/atom: 0.804

abc: 6.143 4.410 7.630
angles: 90.00 109.71 90.00
Space group P2_1/m (No. 11)
Asymmetric unit:
Ac: 0.228 0.250 0.436 (multiplicity 2)
Pm: 0.260 0.250 0.943 (multiplicity 2)
Ir: 0.319 0.750 0.721 (multiplicity 2)

--- x ---
A geometry-optimized AcPmIr structure. Source: Alexandria via LeMat-Bulk, functional PBE-GGA.

Spin magnetization, μB/f.u.: 0.0
DOS at the Fermi energy, states/eV/atom: 0.577

abc: 4.3962 4.3962 37.0968
angles: 90.00 90.00 120.00
Space group R-3m (No. 166, hexagonal axes)
Asymmetric unit:
Ac: 0.0000 0.0000 0.1140 (multiplicity 6)
Pm: 0.0000 0.0000 0.2968 (multiplicity 6)
Ir: 0.0000 0.0000 0.4055 (multiplicity 6)

Stability, highest: x

--- w ---
A geometry-optimized AcPm3Ir structure. Source: Alexandria via LeMat-Bulk, functional PBE-GGA.

Spin magnetization, μB/f.u.: 0.6
DOS at the Fermi energy, states/eV/atom: 1.872

abc: 5.649 5.649 5.649
angles: 90.00 90.00 90.00
Space group Pm-3m (No. 221)
Asymmetric unit:
Ac: 0.000 0.000 0.000 (multiplicity 1)
Pm: 0.000 0.500 0.500 (multiplicity 3)
Ir: 0.500 0.500 0.500 (multiplicity 1)

--- x ---
A geometry-optimized AcPm3Ir structure. Source: Alexandria via LeMat-Bulk, functional PBE-GGA.

Spin magnetization, μB/f.u.: 0.0
DOS at the Fermi energy, states/eV/atom: 1.271

abc: 7.920 6.813 6.518
angles: 90.00 90.00 90.00
Space group Pmn2_1 (No. 31)
Asymmetric unit:
Ac: 0.000 0.152 0.000 (multiplicity 2)
Pm: 0.000 0.840 0.485 (multiplicity 2)
Pm: 0.249 0.326 0.496 (multiplicity 4)
Ir: 0.000 0.508 0.742 (multiplicity 2)

Stability, highest: x

--- w ---
A geometry-optimized AcPmIrRh structure. Source: Alexandria via LeMat-Bulk, functional PBE-GGA.

Spin magnetization, μB/f.u.: 0.0
DOS at the Fermi energy, states/eV/atom: 0.651

abc: 7.236 7.236 7.236
angles: 90.00 90.00 90.00
Space group F-43m (No. 216)
Asymmetric unit:
Ac: 0.000 0.000 0.000 (multiplicity 4)
Pm: 0.000 0.000 0.500 (multiplicity 4)
Ir: 0.250 0.250 0.750 (multiplicity 4)
Rh: 0.250 0.250 0.250 (multiplicity 4)

--- x ---
A geometry-optimized AcPmIrRh structure. Source: Alexandria via LeMat-Bulk, functional PBE-GGA.

Spin magnetization, μB/f.u.: 0.0
DOS at the Fermi energy, states/eV/atom: 0.552

abc: 4.290 4.055 11.283
angles: 90.00 90.00 90.00
Space group Amm2 (No. 38)
Asymmetric unit:
Ac: 0.000 0.000 0.000 (multiplicity 2)
Pm: 0.500 0.000 0.719 (multiplicity 2)
Ir: 0.000 0.000 0.274 (multiplicity 2)
Rh: 0.500 0.000 0.438 (multiplicity 2)

Stability, highest: x

--- w ---
A geometry-optimized AcPrIr structure. Source: Alexandria via LeMat-Bulk, functional PBE-GGA.

Spin magnetization, μB/f.u.: 0.0
DOS at the Fermi energy, states/eV/atom: 0.937

abc: 3.704 3.704 13.838
angles: 90.00 90.00 90.00
Space group I4mm (No. 107)
Asymmetric unit:
Ac: 0.000 0.000 0.000 (multiplicity 2)
Pr: 0.000 0.000 0.755 (multiplicity 2)
Ir: 0.000 0.000 0.371 (multiplicity 2)

--- x ---
A geometry-optimized AcPrIr structure. Source: Alexandria via LeMat-Bulk, functional PBE-GGA.

Spin magnetization, μB/f.u.: 0.0
DOS at the Fermi energy, states/eV/atom: 0.742

abc: 7.221 7.221 7.221
angles: 90.00 90.00 90.00
Space group F-43m (No. 216)
Asymmetric unit:
Ac: 0.000 0.000 0.000 (multiplicity 4)
Pr: 0.000 0.000 0.500 (multiplicity 4)
Ir: 0.250 0.250 0.750 (multiplicity 4)

Stability, highest: x

--- w ---
A geometry-optimized AcPrIr structure. Source: Alexandria via LeMat-Bulk, functional PBE-GGA.

Spin magnetization, μB/f.u.: 0.0
DOS at the Fermi energy, states/eV/atom: 1.032

abc: 13.387 4.100 8.827
angles: 90.00 126.95 90.00
Space group C2/m (No. 12)
Asymmetric unit:
Ac: 0.070 0.000 0.374 (multiplicity 4)
Pr: 0.184 0.500 0.089 (multiplicity 4)
Ir: 0.124 0.500 0.704 (multiplicity 4)

--- x ---
A geometry-optimized AcPrIr structure. Source: Alexandria via LeMat-Bulk, functional PBE-GGA.

Spin magnetization, μB/f.u.: 0.0
DOS at the Fermi energy, states/eV/atom: 0.591

abc: 7.601 4.388 13.002
angles: 90.00 101.17 90.00
Space group C2/m (No. 12)
Asymmetric unit:
Ac: 0.115 0.000 0.347 (multiplicity 4)
Pr: 0.206 0.500 0.116 (multiplicity 4)
Ir: 0.091 0.500 0.774 (multiplicity 4)

Stability, highest: x

--- w ---
A geometry-optimized AcPr3Ir structure. Source: Alexandria via LeMat-Bulk, functional PBE-GGA.

Spin magnetization, μB/f.u.: 0.0
DOS at the Fermi energy, states/eV/atom: 1.103

abc: 8.297 7.881 10.681
angles: 90.00 107.00 90.00
Space group P2_1/c (No. 14)
Asymmetric unit:
Ac: 0.186 0.055 0.252 (multiplicity 4)
Pr: 0.085 0.700 0.032 (multiplicity 4)
Pr: 0.294 0.511 0.383 (multiplicity 4)
Pr: 0.413 0.126 0.609 (multiplicity 4)
Ir: 0.453 0.747 0.605 (multiplicity 4)

--- x ---
A geometry-optimized AcPr3Ir structure. Source: Alexandria via LeMat-Bulk, functional PBE-GGA.

Spin magnetization, μB/f.u.: 1.0
DOS at the Fermi energy, states/eV/atom: 1.837

abc: 5.728 5.728 5.728
angles: 90.00 90.00 90.00
Space group Pm-3m (No. 221)
Asymmetric unit:
Ac: 0.000 0.000 0.000 (multiplicity 1)
Pr: 0.000 0.500 0.500 (multiplicity 3)
Ir: 0.500 0.500 0.500 (multiplicity 1)

Stability, highest: w

--- w ---
A geometry-optimized AcPr2Ir2 structure. Source: Alexandria via LeMat-Bulk, functional PBE-GGA.

Spin magnetization, μB/f.u.: 0.0
DOS at the Fermi energy, states/eV/atom: 0.498

abc: 5.920 4.515 11.064
angles: 90.00 98.38 90.00
Space group P2_1/m (No. 11)
Asymmetric unit:
Ac: 0.048 0.250 0.290 (multiplicity 2)
Pr: 0.270 0.750 0.032 (multiplicity 2)
Pr: 0.388 0.250 0.613 (multiplicity 2)
Ir: 0.163 0.750 0.472 (multiplicity 2)
Ir: 0.200 0.250 0.866 (multiplicity 2)

--- x ---
A geometry-optimized AcPr2Ir2 structure. Source: Alexandria via LeMat-Bulk, functional PBE-GGA.

Spin magnetization, μB/f.u.: 0.0
DOS at the Fermi energy, states/eV/atom: 0.581

abc: 4.082 13.615 10.480
angles: 90.00 90.00 90.00
Space group Cmcm (No. 63)
Asymmetric unit:
Ac: 0.000 0.098 0.250 (multiplicity 4)
Pr: 0.000 0.357 0.070 (multiplicity 8)
Ir: 0.000 0.000 0.000 (multiplicity 4)
Ir: 0.000 0.241 0.750 (multiplicity 4)

Stability, highest: w